No. 1
VASP calculation (PBE) on a geometry-optimized Na2GeMo structure.

CIF file:
```
data_Na2GeMo
_chemical_formula_sum 'Na4 Ge2 Mo2'
_cell_length_a 6.578
_cell_length_b 6.578
_cell_length_c 6.578
_cell_angle_alpha 99.01
_cell_angle_beta 99.01
_cell_angle_gamma 133.37
_space_group_name_H-M_alt 'P 1'
_space_group_IT_number 1
loop_
_space_group_symop_operation_xyz
'x,y,z'
loop_
_atom_site_label
_atom_site_type_symbol
_atom_site_fract_x
_atom_site_fract_y
_atom_site_fract_z
Na1 Na 0.091 0.625 0.966
Na2 Na 0.375 0.341 0.466
Na3 Na 0.659 0.125 0.034
Na4 Na 0.875 0.909 0.534
Ge1 Ge 0.000 0.000 0.000
Ge2 Ge 0.750 0.250 0.500
Mo1 Mo 0.250 0.750 0.500
Mo2 Mo 0.500 0.500 0.000
```

---

No. 2
VASP calculation (PBE) on a geometry-optimized NaGe2Mo2 structure.

Distance to the lowest polymorph of the same formula: 133 meV/atom

CIF file:
```
data_NaGe2Mo2
_chemical_formula_sum 'Na2 Ge4 Mo4'
_cell_length_a 7.218
_cell_length_b 7.218
_cell_length_c 3.226
_cell_angle_alpha 90.00
_cell_angle_beta 90.00
_cell_angle_gamma 90.00
_space_group_name_H-M_alt 'P 1'
_space_group_IT_number 1
loop_
_space_group_symop_operation_xyz
'x,y,z'
loop_
_atom_site_label
_atom_site_type_symbol
_atom_site_fract_x
_atom_site_fract_y
_atom_site_fract_z
Na1 Na 0.000 0.000 0.000
Na2 Na 0.500 0.500 0.000
Ge1 Ge 0.144 0.356 0.000
Ge2 Ge 0.356 0.856 0.000
Ge3 Ge 0.644 0.144 0.000
Ge4 Ge 0.856 0.644 0.000
Mo1 Mo 0.146 0.646 0.500
Mo2 Mo 0.354 0.146 0.500
Mo3 Mo 0.646 0.854 0.500
Mo4 Mo 0.854 0.354 0.500
```

---

No. 3
VASP calculation (PBE) on a geometry-optimized NaGeMo3 structure.

Distance to the lowest polymorph of the same formula: 0 meV/atom

CIF file:
```
data_NaGeMo3
_chemical_formula_sum 'Na1 Ge1 Mo3'
_cell_length_a 4.714
_cell_length_b 4.714
_cell_length_c 4.714
_cell_angle_alpha 90.00
_cell_angle_beta 90.00
_cell_angle_gamma 90.00
_space_group_name_H-M_alt 'P 1'
_space_group_IT_number 1
loop_
_space_group_symop_operation_xyz
'x,y,z'
loop_
_atom_site_label
_atom_site_type_symbol
_atom_site_fract_x
_atom_site_fract_y
_atom_site_fract_z
Na1 Na 0.000 0.000 0.000
Ge1 Ge 0.500 0.500 0.500
Mo1 Mo 0.000 0.500 0.500
Mo2 Mo 0.500 0.000 0.500
Mo3 Mo 0.500 0.500 0.000
```

---

no.,formation energy from the elements (eV/atom),magnetic moment (μB/f.u.)
1,0.85,2.89
2,0.18,0.00
3,1.50,0.00